(1)
Computed, not measured: a geometry-optimized Ba6Na2ZnRh structure at the PBE level of DFT.

Output
SG: No. 107

a b c (Å): 9.0576 9.0577 9.0433
angles (deg): 120.02 120.02 90.03
Positions (direct):
1 Ba 0.7599 0.7606 0.9994
2 Ba 0.7600 0.7605 0.5197
3 Ba 0.2398 0.2401 0.0001
4 Ba 0.7603 0.2400 0.9997
5 Ba 0.2396 0.2401 0.4794
6 Ba 0.2394 0.7607 0.9998
7 Na 0.7502 0.2507 0.5004
8 Na 0.2502 0.7508 0.5004
9 Zn 0.4997 0.5002 0.9994
10 Rh 0.9998 0.0003 0.9996

(2)
Computed, not measured: a geometry-optimized BaNaZr2Rh structure at the PBE level of DFT.

Output
SG: No. 123

a b c (Å): 5.0423 5.6843 5.0423
angles (deg): 90.00 90.00 90.00
Positions (direct):
1 Na 0.0000 0.0000 0.0000
2 Rh 0.5000 0.5000 0.5000
3 Ba 0.0000 0.5000 0.0000
4 Zr 0.0000 0.0000 0.5000
5 Zr 0.5000 0.0000 0.0000

(3)
Computed, not measured: a geometry-optimized BaNaRu structure at the PBE level of DFT.

Output
SG: No. 1

a b c (Å): 4.2169 6.4803 8.8858
angles (deg): 107.16 90.29 108.79
Positions (direct):
1 Ba 0.2421 0.7959 0.5983
2 Ba 0.5702 0.4400 0.8660
3 Na 0.3119 0.9139 0.2314
4 Na 0.0015 0.3041 0.2285
5 Ru 0.9466 0.1990 0.5482
6 Ru 0.5169 0.3418 0.5093

no.,DFT formation energy (eV/atom),magnetic moment (μB per formula unit)
1,-0.09,0.000
2,1.64,0.000
3,0.34,0.000